First-principles (GGA-PBE) data for a geometry-optimized LiGe5Pd3 structure, as listed in OQMD via LeMat-Bulk.

Cell lengths 5.321, 5.321, 6.950 Å; angles 90.00, 90.00, 120.00 degrees
Fractional positions:
Pd: 0.500 0.000 0.500
Ge: 0.333 0.667 0.190
Ge: 0.000 0.000 0.500
Pd: 0.500 0.500 0.500
Ge: 0.667 0.333 0.810
Ge: 0.667 0.333 0.190
Ge: 0.333 0.667 0.810
Li: 0.000 0.000 0.000
Pd: 0.000 0.500 0.500

Output
The calculated total energy comes out at -4.568 eV per atom. The space group is No. 191.


First-principles (GGA-PBE) data for a geometry-optimized Li5GePd6 structure, as listed in OQMD via LeMat-Bulk.

Cell lengths 6.711, 6.711, 5.964 Å; angles 90.01, 90.01, 142.96 degrees
Fractional positions:
Pd: 0.836 0.165 0.749
Pd: 0.164 0.835 0.251
Li: 0.666 0.334 0.500
Pd: 0.500 0.500 0.246
Pd: 0.500 0.500 0.754
Li: 0.329 0.671 0.000
Pd: 0.835 0.164 0.251
Li: 0.334 0.666 0.500
Li: 0.000 0.000 0.500
Ge: 0.000 0.000 0.000
Pd: 0.165 0.836 0.749
Li: 0.671 0.329 0.000

Output
The calculated total energy comes out at -4.307 eV per atom. The space group is No. 65.


First-principles (GGA-PBE) data for a geometry-optimized LiGe4Pd6 structure, as listed in OQMD via LeMat-Bulk.

Cell lengths 7.407, 7.407, 7.407 Å; angles 43.90, 43.90, 43.90 degrees
Fractional positions:
Ge: 0.130 0.130 0.130
Ge: 0.669 0.669 0.669
Ge: 0.870 0.870 0.870
Ge: 0.331 0.331 0.331
Pd: 0.599 0.599 0.103
Pd: 0.401 0.897 0.401
Pd: 0.897 0.401 0.401
Pd: 0.401 0.401 0.897
Pd: 0.103 0.599 0.599
Pd: 0.599 0.103 0.599
Li: 0.000 0.000 0.000

Output
The calculated total energy comes out at -5.089 eV per atom. The space group is No. 166.


First-principles (GGA-PBE) data for a geometry-optimized Li2Ge2PdPt structure, as listed in OQMD via LeMat-Bulk.

Cell lengths 4.373, 4.373, 5.425 Å; angles 90.00, 90.00, 120.00 degrees
Fractional positions:
Li: 0.667 0.333 0.749
Ge: 0.333 0.667 0.000
Pd: 0.000 0.000 0.000
Pt: 0.333 0.667 0.500
Ge: 0.000 0.000 0.500
Li: 0.667 0.333 0.251

Output
The calculated total energy comes out at -4.629 eV per atom. The space group is No. 187.